A plane-wave DFT calculation with GGA-PBE was carried out for a relaxed structure of NiBiSe2.

Properties
**Density**: 5.652 g/cm3
**E_form (uncorrected)**: 0.07 eV per atom
**Space group**: R-3m (166)

Structure (CIF):
```
data_NiBiSe2
_chemical_formula_sum 'Ni1 Bi1 Se2'
_space_group_name_H-M_alt 'P 1'
_space_group_IT_number 1
_space_group_name_Hall 'P 1'
_cell_length_a 7.976
_cell_length_b 7.976
_cell_length_c 7.976
_cell_angle_alpha 31.78
_cell_angle_beta 31.78
_cell_angle_gamma 31.78
loop_
_atom_site_label
_atom_site_type_symbol
_atom_site_fract_x
_atom_site_fract_y
_atom_site_fract_z
Se1 Se 0.902 0.902 0.902
Se2 Se 0.098 0.098 0.098
Ni1 Ni 0.000 0.000 0.000
Bi1 Bi 0.500 0.500 0.500
```